Record 1
# Al6GaCu10

A relaxed Al6GaCu10 crystal (PBE, the Alexandria database).

Unit cell a=7.1867 b=7.1867 c=5.1194 alpha=90.00 beta=90.00 gamma=120.00
Closest atoms and distances in Å follow each position.
Space group P-31m (No. 162)
Unique sites:
Al1 0.0000 0.3607 0.3083 [6 per cell]  9 Cu 2.49-2.79, 1 Ga 2.77
Ga1 0.0000 0.0000 0.5000 [1 per cell]  6 Cu 2.71, 6 Al 2.77
Cu1 0.0000 0.2956 0.8296 [6 per cell]  5 Al 2.49-2.71, 4 Cu 2.69-2.75, 1 Ga 2.71
Cu2 0.3333 0.6667 0.0000 [2 per cell]  8 Cu 2.56-2.69, 6 Al 2.79
Cu3 0.3333 0.6667 0.5000 [2 per cell]  6 Al 2.50, 2 Cu 2.56

Properties
Calculated density: 6.288 g/cm³
Magnetic moment: 0.0 Bohr magnetons per cell
DOS(E_F): 0.208 states/eV/atom
ΔH_f (0 K): -0.12 eV per atom
Volume: 13.47 A^3/atom

=====

Record 2
# AlGa2Cu2

A relaxed AlGa2Cu2 crystal (PBE, the Alexandria database).

Unit cell a=4.3782 b=4.1910 c=8.4016 alpha=90.00 beta=90.30 gamma=90.00
Closest atoms and distances in Å follow each position.
Space group P2_1/m (No. 11)
Unique sites:
Al1 0.1858 0.2500 0.3299 [2 per cell]  6 Cu 2.52-2.61, 3 Ga 2.78-2.79
Ga1 0.2357 0.2500 0.6789 [2 per cell]  5 Cu 2.49-2.60, 1 Ga 2.71
Ga2 0.2630 0.2500 0.0014 [2 per cell]  4 Cu 2.51-2.65, 1 Ga 2.71, 1 Al 2.78
Cu1 0.2510 0.7500 0.1666 [2 per cell]  6 Ga 2.50-2.65, 2 Al 2.52
Cu2 0.3132 0.7500 0.5011 [2 per cell]  3 Ga 2.49-2.60, 4 Al 2.60-2.61, 2 Cu 2.66

Properties
Calculated density: 6.323 g/cm³
Magnetic moment: 0.0 Bohr magnetons per cell
DOS(E_F): 0.310 states/eV/atom
ΔH_f (0 K): -0.10 eV per atom
Volume: 15.42 A^3/atom

=====

Record 3
# AlGa2Cu2

A relaxed AlGa2Cu2 crystal (PBE, the Alexandria database).

Unit cell a=7.3854 b=7.3854 c=2.7804 alpha=90.00 beta=90.00 gamma=90.00
Closest atoms and distances in Å follow each position.
Space group P4/mbm (No. 127)
Unique sites:
Al1 0.0000 0.0000 0.0000 [2 per cell]  2 Al 2.78, 4 Cu 2.93, 8 Ga 3.06
Ga1 0.1763 0.3237 0.5000 [4 per cell]  6 Cu 2.52-2.64, 2 Ga 2.78
Cu1 0.1224 0.6224 0.0000 [4 per cell]  6 Ga 2.52-2.64, 3 Cu 2.56-2.78

Properties
Calculated density: 6.428 g/cm³
Magnetic moment: 0.0 Bohr magnetons per cell
DOS(E_F): 0.348 states/eV/atom
ΔH_f (0 K): 0.03 eV per atom
Volume: 15.17 A^3/atom

=====

Record 4
# Al4GaCu8

A relaxed Al4GaCu8 crystal (PBE, the Alexandria database).

Unit cell a=3.4913 b=3.7484 c=13.7119 alpha=90.00 beta=90.00 gamma=90.00
Closest atoms and distances in Å follow each position.
Space group Pmm2 (No. 25)
Unique sites:
Al1 0.0000 0.0000 0.0000 [1 per cell]  10 Cu 2.55-2.64, 2 Al 2.80
Al2 0.0000 0.5000 0.1517 [1 per cell]  10 Cu 2.56-2.65, 2 Al 2.80
Al3 0.5000 0.0000 0.4199 [1 per cell]  10 Cu 2.56-2.60
Al4 0.5000 0.5000 0.5854 [1 per cell]  6 Cu 2.59-2.77
Ga1 0.0000 0.0000 0.7302 [1 per cell]  5 Cu 2.38-2.62
Cu1 0.0000 0.0000 0.2825 [1 per cell]  8 Cu 2.56-2.74, 4 Al 2.57-2.59
Cu2 0.0000 0.0000 0.5567 [1 per cell]  1 Ga 2.38, 6 Al 2.56-2.59, 2 Cu 2.57
Cu3 0.0000 0.5000 0.4281 [1 per cell]  6 Al 2.56-2.77, 6 Cu 2.57-2.74
Cu4 0.0000 0.5000 0.8642 [1 per cell]  6 Cu 2.56-2.62, 2 Ga 2.62, 2 Al 2.64
Cu5 0.5000 0.0000 0.1426 [1 per cell]  6 Al 2.56-2.62, 6 Cu 2.59-2.74
Cu6 0.5000 0.0000 0.8648 [1 per cell]  2 Ga 2.54, 2 Al 2.55, 6 Cu 2.56-2.70
Cu7 0.5000 0.5000 0.0065 [1 per cell]  6 Al 2.56-2.65, 6 Cu 2.62-2.70
Cu8 0.5000 0.5000 0.2881 [1 per cell]  4 Al 2.56-2.60, 8 Cu 2.56-2.74

Properties
Calculated density: 6.348 g/cm³
Magnetic moment: 0.0 Bohr magnetons per cell
DOS(E_F): 0.287 states/eV/atom
ΔH_f (0 K): -0.11 eV per atom
Volume: 13.80 A^3/atom

=====

Record 5
# Al5Ga12Cu2

A relaxed Al5Ga12Cu2 crystal (PBE, the Alexandria database).

Unit cell a=14.1130 b=6.6210 c=8.6673 alpha=90.00 beta=121.11 gamma=90.00
Closest atoms and distances in Å follow each position.
Space group C2/m (No. 12)
Unique sites:
Al1 0.0000 0.0000 0.0000 [2 per cell]  6 Ga 2.63-2.84
Al2 0.1354 0.0000 0.7974 [4 per cell]  2 Cu 2.59, 3 Ga 2.67-2.89
Al3 0.1462 0.5000 0.2865 [4 per cell]  7 Ga 2.63-2.88
Ga1 0.0319 0.5000 0.6884 [4 per cell]  2 Cu 2.54, 1 Al 2.63, 2 Ga 2.81
Ga2 0.1015 0.0000 0.3543 [4 per cell]  2 Al 2.63-2.89, 2 Cu 2.65, 2 Ga 2.81
Ga3 0.1515 0.2959 0.0193 [8 per cell]  4 Al 2.67-2.91, 3 Ga 2.70-2.81
Ga4 0.2013 0.3025 0.6189 [8 per cell]  1 Cu 2.59, 3 Ga 2.62-2.81, 2 Al 2.74-2.88
Cu1 0.0000 0.1856 0.5000 [4 per cell]  1 Cu 2.46, 6 Ga 2.54-2.65, 2 Al 2.59

Properties
Calculated density: 5.262 g/cm³
Magnetic moment: 0.0 Bohr magnetons per cell
DOS(E_F): 0.329 states/eV/atom
ΔH_f (0 K): 0.04 eV per atom
Volume: 18.25 A^3/atom

=====

Record 6
# AlGa3Cu

A relaxed AlGa3Cu crystal (PBE, the Alexandria database).

Unit cell a=4.6993 b=4.6993 c=4.6993 alpha=90.00 beta=90.00 gamma=90.00
Closest atoms and distances in Å follow each position.
Space group Pm-3m (No. 221)
Unique sites:
Al1 0.0000 0.0000 0.0000 [1 per cell]  12 Ga 3.32
Ga1 0.0000 0.5000 0.5000 [3 per cell]  2 Cu 2.35
Cu1 0.5000 0.5000 0.5000 [1 per cell]  6 Ga 2.35

Properties
Calculated density: 4.795 g/cm³
Magnetic moment: 0.0 Bohr magnetons per cell
DOS(E_F): 0.362 states/eV/atom
ΔH_f (0 K): 0.27 eV per atom
Volume: 20.76 A^3/atom

=====

Record 7
# AlGa2Cu6

A relaxed AlGa2Cu6 crystal (PBE, the Alexandria database).

Unit cell a=8.2222 b=3.7634 c=7.8817 alpha=90.00 beta=106.67 gamma=90.00
Closest atoms and distances in Å follow each position.
Space group C2/m (No. 12)
Unique sites:
Al1 0.0000 0.0000 0.0000 [2 per cell]  8 Cu 2.61-2.63, 4 Ga 2.75
Ga1 0.1739 0.5000 0.2383 [4 per cell]  10 Cu 2.52-2.71, 2 Al 2.75
Cu1 0.9999 0.0000 0.3339 [4 per cell]  3 Ga 2.57-2.60, 8 Cu 2.60-2.68, 1 Al 2.63
Cu2 0.1635 0.5000 0.5552 [4 per cell]  3 Ga 2.52-2.59, 9 Cu 2.58-2.65
Cu3 0.1663 0.5000 0.8917 [4 per cell]  3 Al 2.61-2.63, 5 Cu 2.65-2.68, 4 Ga 2.66-2.71

Properties
Calculated density: 7.785 g/cm³
Magnetic moment: 0.0 Bohr magnetons per cell
DOS(E_F): 0.308 states/eV/atom
ΔH_f (0 K): -0.09 eV per atom
Volume: 12.98 A^3/atom

=====

Record 8
# Al2GaCu

A relaxed Al2GaCu crystal (PBE, the Alexandria database).

Unit cell a=4.2747 b=4.2747 c=18.0712 alpha=90.00 beta=90.00 gamma=120.00
Closest atoms and distances in Å follow each position.
Space group R-3m (No. 166, hexagonal axes)
Unique sites:
Al1 0.0000 0.0000 0.1403 [6 per cell]  3 Cu 2.51, 1 Ga 2.54, 3 Al 2.65
Ga1 0.0000 0.0000 0.0000 [3 per cell]  2 Al 2.54
Cu1 0.0000 0.0000 0.5000 [3 per cell]  6 Al 2.51

Properties
Calculated density: 3.261 g/cm³
Magnetic moment: 0.0 Bohr magnetons per cell
DOS(E_F): 0.236 states/eV/atom
ΔH_f (0 K): 0.25 eV per atom
Volume: 23.83 A^3/atom

=====

Record 9
# Al6Ga2Cu

A relaxed Al6Ga2Cu crystal (PBE, the Alexandria database).

Unit cell a=13.3135 b=6.0675 c=4.2496 alpha=90.00 beta=107.96 gamma=90.00
Closest atoms and distances in Å follow each position.
Space group C2/m (No. 12)
Unique sites:
Al1 0.0000 0.2312 0.0000 [4 per cell]  2 Cu 2.55, 2 Ga 2.66, 1 Al 2.81
Al2 0.1591 0.2418 0.6555 [8 per cell]  1 Cu 2.49, 3 Ga 2.64-2.65
Ga1 0.1663 0.5000 0.1621 [4 per cell]  8 Al 2.64-2.66
Cu1 0.0000 0.0000 0.5000 [2 per cell]  8 Al 2.49-2.55

Properties
Calculated density: 3.711 g/cm³
Magnetic moment: 0.0 Bohr magnetons per cell
DOS(E_F): 0.234 states/eV/atom
ΔH_f (0 K): -0.01 eV per atom
Volume: 18.14 A^3/atom

=====

Record 10
# AlGa2Cu8

A relaxed AlGa2Cu8 crystal (PBE, the Alexandria database).

Unit cell a=13.2127 b=3.7693 c=5.8399 alpha=90.00 beta=105.77 gamma=90.00
Closest atoms and distances in Å follow each position.
Space group C2/m (No. 12)
Unique sites:
Al1 0.0000 0.0000 0.0000 [2 per cell]  12 Cu 2.55-2.64
Ga1 0.2222 0.5000 0.6492 [4 per cell]  10 Cu 2.53-2.70, 2 Ga 2.80
Cu1 0.0433 0.5000 0.7286 [4 per cell]  1 Ga 2.53, 9 Cu 2.56-2.66, 2 Al 2.62
Cu2 0.0905 0.0000 0.4529 [4 per cell]  1 Al 2.59, 8 Cu 2.59-2.66, 3 Ga 2.61-2.70
Cu3 0.1371 0.5000 0.1863 [4 per cell]  7 Cu 2.56-2.65, 3 Ga 2.63-2.64, 2 Al 2.64
Cu4 0.1793 0.0000 0.9138 [4 per cell]  3 Ga 2.53-2.60, 1 Al 2.55, 8 Cu 2.62-2.65

Properties
Calculated density: 8.006 g/cm³
Magnetic moment: 0.0 Bohr magnetons per cell
DOS(E_F): 0.324 states/eV/atom
ΔH_f (0 K): -0.12 eV per atom
Volume: 12.72 A^3/atom

=====

Record 11
# Al2GaCu

A relaxed Al2GaCu crystal (PBE, the Alexandria database).

Unit cell a=3.9740 b=3.9740 c=3.8592 alpha=90.00 beta=90.00 gamma=90.00
Closest atoms and distances in Å follow each position.
Space group P4/mmm (No. 123)
Unique sites:
Al1 0.0000 0.5000 0.0000 [2 per cell]  4 Cu 2.77, 4 Ga 2.77, 4 Al 2.81
Ga1 0.0000 0.0000 0.5000 [1 per cell]  8 Al 2.77, 4 Cu 2.81
Cu1 0.5000 0.5000 0.5000 [1 per cell]  8 Al 2.77, 4 Ga 2.81

Properties
Calculated density: 5.101 g/cm³
Magnetic moment: 0.0 Bohr magnetons per cell
DOS(E_F): 0.646 states/eV/atom
ΔH_f (0 K): 0.01 eV per atom
Volume: 15.24 A^3/atom